DFT (GGA+U) results for a geometry-optimized ScCoOF2 structure.

Cell lengths 4.0812, 4.0812, 4.0933 Å; angles 90.00, 90.00, 90.00 degrees
Fractional positions:
Sc (0.0000, 0.0000, 0.0000)
Co (0.5000, 0.5000, 0.5000)
O (0.0000, 0.0000, 0.5000)
F (0.0000, 0.5000, 0.0000)
F (0.5000, 0.0000, 0.0000)

- symmetry = No. 123
- total DFT energy (no corrections) (eV per cell) = -31.52
- calculated density (g cm⁻³) = 3.85
- crystal system = tetragonal
- magnetic moment (μB per formula unit) = 2.02
- excess energy over the best structure of this formula in the dataset (meV/atom) = 0